SmTmHg6: relaxed, PBE.

Geometry as POSCAR:
```
SmTmHg6
1.0
5.0354 0.0000 0.0000
0.0000 6.6658 -0.2189
0.0000 -3.1475 5.8800
Hg Sm Tm
6 1 1
direct
0.0000 0.0793 0.4157 Hg
0.0000 0.5843 0.9207 Hg
0.5000 0.4114 0.0793 Hg
0.5000 0.9207 0.5886 Hg
0.5000 0.9162 0.0838 Hg
0.0000 0.5882 0.4118 Hg
0.5000 0.4185 0.5815 Sm
0.0000 0.0811 0.9189 Tm
```

Fermi-level density of states = 6.07 states/eV per cell
formation energy = -0.340 eV/atom
V = 24.2 Å³ per atom

***

NaPu5Se6: relaxed, PBE.

Geometry as POSCAR:
```
NaPu5Se6
1.0
-5.7681 -2.7175 3.4197
1.9807 -2.3689 6.5400
-0.2355 4.4553 5.6841
Se Na Pu
6 1 5
direct
0.7487 0.7451 0.0000 Se
0.2513 0.2549 0.0000 Se
0.7468 0.0846 0.3384 Se
0.7468 0.4230 0.6616 Se
0.2532 0.5770 0.3384 Se
0.2532 0.9154 0.6616 Se
0.0000 0.0000 0.0000 Na
0.5000 0.5000 0.0000 Pu
0.0000 0.6672 0.6656 Pu
0.5000 0.8357 0.3286 Pu
0.0000 0.3328 0.3344 Pu
0.5000 0.1643 0.6714 Pu
```

Fermi-level density of states = 44.45 states/eV per cell
V = 25.7 Å³ per atom
uncorrected formation energy = -1505 meV/atom

***

SrTa2H2: relaxed, PBE.

Geometry as POSCAR:
```
SrTa2H2
1.0
-5.5861 2.6682 -4.6584
1.6225 -5.5694 -5.1355
-1.9599 -1.7917 1.3239
H Ta Sr
4 4 2
direct
0.4108 0.9108 0.0000 H
0.0892 0.4108 0.0000 H
0.5892 0.0892 0.0000 H
0.9108 0.5892 0.0000 H
0.3847 0.1153 0.5000 Ta
0.1153 0.6153 0.5000 Ta
0.6153 0.8847 0.5000 Ta
0.8847 0.3847 0.5000 Ta
0.5000 0.5000 0.0000 Sr
0.0000 0.0000 0.0000 Sr
```

E above lowest polymorph = 0.6198 eV per atom
Fermi-level density of states = 10.34 states/eV per cell
V = 17.8 Å³ per atom

***

Rb2YHgBr6: relaxed, PBE.

Geometry as POSCAR:
```
Rb2YHgBr6
1.0
8.2666 0.0000 0.0000
0.0000 8.2666 0.0000
4.1333 4.1333 5.8277
Br Rb Y Hg
6 2 1 1
direct
0.7399 0.7399 0.5201 Br
0.2601 0.2601 0.4799 Br
0.7392 0.2608 0.0000 Br
0.7392 0.7392 0.0000 Br
0.2608 0.7392 0.0000 Br
0.2608 0.2608 0.0000 Br
0.7500 0.2500 0.5000 Rb
0.2500 0.7500 0.5000 Rb
0.5000 0.5000 0.0000 Y
0.0000 0.0000 0.0000 Hg
```

E above lowest polymorph = 0.0042 eV per atom
Fermi-level density of states = 6.90 states/eV per cell
V = 39.8 Å³ per atom
uncorrected formation energy = -1445 meV/atom